(1)
Here is PmDyNO after structural relaxation from OQMD via LeMat-Bulk. Energies are from PBE.

The structure in CIF format:
```
data_PmDyNO
_cell_length_a 4.3161
_cell_length_b 4.3161
_cell_length_c 7.7234
_cell_angle_alpha 90.00
_cell_angle_beta 90.00
_cell_angle_gamma 90.00
_symmetry_space_group_name_H-M 'P 4/n m m'
_symmetry_Int_Tables_number 129
loop_
_symmetry_equiv_pos_as_xyz
'x,y,z'
'-x,-y,-z'
'-y+1/2,x,z'
'y+1/2,-x,-z'
'-x+1/2,-y+1/2,z'
'x+1/2,y+1/2,-z'
'y,-x+1/2,z'
'-y,x+1/2,-z'
'x+1/2,-y,-z'
'-x+1/2,y,z'
'-y,-x,-z'
'y,x,z'
'-x,y+1/2,-z'
'x,-y+1/2,z'
'y+1/2,x+1/2,-z'
'-y+1/2,-x+1/2,z'
loop_
_atom_site_label
_atom_site_fract_x
_atom_site_fract_y
_atom_site_fract_z
Pm1 0.2500 0.7500 0.0000
Dy1 0.2500 0.2500 0.4041
N1 0.2500 0.2500 0.8521
O1 0.2500 0.7500 0.5000
```

## Properties
As for the crystal system: tetragonal. The value obtained for the calculated volume is 17.98 Å³ per atom.



(2)
Here is PmDyNO after structural relaxation from OQMD via LeMat-Bulk. Energies are from PBE.

The structure in CIF format:
```
data_PmDyNO
_cell_length_a 8.1758
_cell_length_b 6.7327
_cell_length_c 5.0070
_cell_angle_alpha 90.00
_cell_angle_beta 90.00
_cell_angle_gamma 90.00
_symmetry_space_group_name_H-M 'P b c m'
_symmetry_Int_Tables_number 57
_symmetry_space_group_name_Hall '-P 2c 2b'
loop_
_atom_site_label
_atom_site_fract_x
_atom_site_fract_y
_atom_site_fract_z
Pm1 0.1247 0.0690 0.2500
Dy1 0.3766 0.5843 0.2500
N1 0.3812 0.5769 0.7500
O1 0.1407 0.0887 0.7500
```

## Properties
As for the crystal system: orthorhombic. The value obtained for the calculated volume is 17.23 Å³ per atom.



(3)
Here is PmDyNO after structural relaxation from OQMD via LeMat-Bulk. Energies are from PBE.

The structure in CIF format:
```
data_PmDyNO
_cell_length_a 5.0014
_cell_length_b 4.0279
_cell_length_c 6.9921
_cell_angle_alpha 90.00
_cell_angle_beta 90.00
_cell_angle_gamma 90.00
_symmetry_space_group_name_H-M 'P m m a'
_symmetry_Int_Tables_number 51
_symmetry_space_group_name_Hall '-P 2a 2a'
loop_
_atom_site_label
_atom_site_fract_x
_atom_site_fract_y
_atom_site_fract_z
Pm1 0.2500 0.0000 0.1645
Dy1 0.2500 0.5000 0.6692
N1 0.2500 0.0000 0.8253
O1 0.2500 0.5000 0.3438
```

## Properties
As for the crystal system: orthorhombic. The value obtained for the calculated volume is 17.61 Å³ per atom.



(4)
Here is PmDyNO after structural relaxation from OQMD via LeMat-Bulk. Energies are from PBE.

The structure in CIF format:
```
data_PmDyNO
_cell_length_a 6.7096
_cell_length_b 8.1729
_cell_length_c 5.0636
_cell_angle_alpha 90.00
_cell_angle_beta 90.00
_cell_angle_gamma 90.00
_symmetry_space_group_name_H-M 'P c a 21'
_symmetry_Int_Tables_number 29
_symmetry_space_group_name_Hall 'P 2c -2ac'
loop_
_atom_site_label
_atom_site_fract_x
_atom_site_fract_y
_atom_site_fract_z
Pm1 0.0807 0.1293 0.0000
Dy1 0.0735 0.6203 0.9994
N1 0.0640 0.1324 0.5005
O1 0.0966 0.6206 0.4987
```

## Properties
As for the crystal system: orthorhombic. The value obtained for the calculated volume is 17.35 Å³ per atom.



(5)
Here is PmDyNO after structural relaxation from OQMD via LeMat-Bulk. Energies are from PBE.

The structure in CIF format:
```
data_PmDyNO
_cell_length_a 4.9619
_cell_length_b 4.0423
_cell_length_c 6.9814
_cell_angle_alpha 90.00
_cell_angle_beta 90.00
_cell_angle_gamma 90.00
_symmetry_space_group_name_H-M 'P m m a'
_symmetry_Int_Tables_number 51
_symmetry_space_group_name_Hall '-P 2a 2a'
loop_
_atom_site_label
_atom_site_fract_x
_atom_site_fract_y
_atom_site_fract_z
Pm1 0.2500 0.0000 0.1644
Dy1 0.2500 0.5000 0.6664
N1 0.2500 0.5000 0.3427
O1 0.2500 0.0000 0.8120
```

## Properties
As for the crystal system: orthorhombic. The value obtained for the calculated volume is 17.50 Å³ per atom.



(6)
Here is RbDyNO after structural relaxation from OQMD via LeMat-Bulk. Energies are from PBE.

The structure in CIF format:
```
data_RbDyNO
_cell_length_a 3.6842
_cell_length_b 7.5527
_cell_length_c 6.6485
_cell_angle_alpha 90.00
_cell_angle_beta 90.00
_cell_angle_gamma 90.00
_symmetry_space_group_name_H-M 'P m c 21'
_symmetry_Int_Tables_number 26
_symmetry_space_group_name_Hall 'P 2c -2'
loop_
_atom_site_label
_atom_site_fract_x
_atom_site_fract_y
_atom_site_fract_z
Rb1 0.0000 0.1698 0.0000
Dy1 0.5000 0.3357 0.4914
N1 0.5000 0.4117 0.8169
O1 0.0000 0.1948 0.4332
```

## Properties
As for the crystal system: orthorhombic. The value obtained for the calculated volume is 23.12 Å³ per atom.



(7)
Here is RbDyNO after structural relaxation from OQMD via LeMat-Bulk. Energies are from PBE.

The structure in CIF format:
```
data_RbDyNO
_cell_length_a 4.5939
_cell_length_b 4.5939
_cell_length_c 10.0734
_cell_angle_alpha 90.00
_cell_angle_beta 90.00
_cell_angle_gamma 90.00
_symmetry_space_group_name_H-M 'P 4/n m m'
_symmetry_Int_Tables_number 129
loop_
_symmetry_equiv_pos_as_xyz
'x,y,z'
'-x,-y,-z'
'-y+1/2,x,z'
'y+1/2,-x,-z'
'-x+1/2,-y+1/2,z'
'x+1/2,y+1/2,-z'
'y,-x+1/2,z'
'-y,x+1/2,-z'
'x+1/2,-y,-z'
'-x+1/2,y,z'
'-y,-x,-z'
'y,x,z'
'-x,y+1/2,-z'
'x,-y+1/2,z'
'y+1/2,x+1/2,-z'
'-y+1/2,-x+1/2,z'
loop_
_atom_site_label
_atom_site_fract_x
_atom_site_fract_y
_atom_site_fract_z
Rb1 0.2500 0.2500 0.1376
Dy1 0.2500 0.7500 0.5000
N1 0.2500 0.2500 0.4560
O1 0.2500 0.7500 0.0000
```

## Properties
As for the crystal system: tetragonal. The value obtained for the calculated volume is 26.57 Å³ per atom.



(8)
Here is RbDyNO after structural relaxation from OQMD via LeMat-Bulk. Energies are from PBE.

The structure in CIF format:
```
data_RbDyNO
_cell_length_a 3.9537
_cell_length_b 7.5309
_cell_length_c 6.3143
_cell_angle_alpha 90.00
_cell_angle_beta 90.00
_cell_angle_gamma 90.00
_symmetry_space_group_name_H-M 'P m c 21'
_symmetry_Int_Tables_number 26
_symmetry_space_group_name_Hall 'P 2c -2'
loop_
_atom_site_label
_atom_site_fract_x
_atom_site_fract_y
_atom_site_fract_z
Rb1 0.0000 0.1691 0.0000
Dy1 0.5000 0.3528 0.5277
N1 0.0000 0.2127 0.4645
O1 0.5000 0.4032 0.8592
```

## Properties
As for the crystal system: orthorhombic. The value obtained for the calculated volume is 23.50 Å³ per atom.



Number 1: energy above the most stable polymorph in this dataset 557 meV per atom. Number 2: energy above the most stable polymorph in this dataset 19 meV per atom. Number 3: energy above the most stable polymorph in this dataset 39 meV per atom. Number 4: energy above the most stable polymorph in this dataset 66 meV per atom. Number 5: energy above the most stable polymorph in this dataset 0 meV per atom. Number 6: energy above the most stable polymorph in this dataset 7 meV per atom. Number 7: energy above the most stable polymorph in this dataset 611 meV per atom. Number 8: energy above the most stable polymorph in this dataset 0 meV per atom.